# 1
Compound: CrCd2Tc
Source: Alexandria via LeMat-Bulk
Functional: GGA-PBE
Structure: optimized geometry

a = 4.5420 Å, b = 4.5420 Å, c = 4.5420 Å
α = 60.00°, β = 60.00°, γ = 60.00°
Last column: nearest neighbours and their distance in Å.
Positions (direct):
Cr 0.0000 0.0000 0.0000  8 Cd 2.78
Cd 0.2500 0.2500 0.2500  4 Tc 2.78, 4 Cr 2.78
Cd 0.7500 0.7500 0.7500  4 Tc 2.78, 4 Cr 2.78
Tc 0.5000 0.5000 0.5000  8 Cd 2.78

Output
**Excess energy over the best structure of this formula in the dataset**: 643.9 meV/atom
**SG**: Fm-3m (225)


# 2
Compound: CrCdTc2
Source: Alexandria via LeMat-Bulk
Functional: GGA-PBE
Structure: optimized geometry

a = 4.8979 Å, b = 4.8979 Å, c = 2.8045 Å
α = 90.00°, β = 90.00°, γ = 112.85°
Last column: nearest neighbours and their distance in Å.
Positions (direct):
Cr 0.0000 0.0000 0.0000  2 Cd 2.71, 2 Cr 2.80, 8 Tc 2.82
Cd 0.5000 0.5000 0.0000  2 Cr 2.71, 2 Cd 2.80, 8 Tc 2.82
Tc 0.0000 0.5000 0.5000  4 Tc 2.71-2.80, 4 Cd 2.82, 4 Cr 2.82
Tc 0.5000 0.0000 0.5000  4 Tc 2.71-2.80, 4 Cr 2.82, 4 Cd 2.82

Output
**Total DFT energy (no corrections)**: -29.04 eV/f.u.
**SG**: Cmmm (65)


# 3
Compound: CrCdTc2
Source: Alexandria via LeMat-Bulk
Functional: GGA-PBE
Structure: optimized geometry

a = 3.8690 Å, b = 3.8690 Å, c = 4.1176 Å
α = 90.00°, β = 90.00°, γ = 90.00°
Last column: nearest neighbours and their distance in Å.
Positions (direct):
Cr 0.0000 0.0000 0.0000  4 Cd 2.74, 8 Tc 2.83
Cd 0.5000 0.5000 0.0000  4 Cr 2.74, 8 Tc 2.83
Tc 0.0000 0.5000 0.5000  4 Tc 2.74, 4 Cd 2.83, 4 Cr 2.83
Tc 0.5000 0.0000 0.5000  4 Tc 2.74, 4 Cd 2.83, 4 Cr 2.83

Output
**Total DFT energy (no corrections)**: -29.22 eV/f.u.
**SG**: P4/mmm (123)


# 4
Compound: CrCd2Tc
Source: Alexandria via LeMat-Bulk
Functional: GGA-PBE
Structure: optimized geometry

a = 4.9415 Å, b = 4.9415 Å, c = 4.9415 Å
α = 129.90°, β = 129.90°, γ = 73.57°
Last column: nearest neighbours and their distance in Å.
Positions (direct):
Cr 0.0000 0.0000 0.0000  8 Cd 2.88-2.96, 4 Tc 2.88
Cd 0.5000 0.5000 0.0000  4 Cd 2.88, 4 Tc 2.88, 4 Cr 2.96
Cd 0.7500 0.2500 0.5000  4 Cr 2.88, 4 Cd 2.88, 4 Tc 2.96
Tc 0.2500 0.7500 0.5000  4 Cr 2.88, 8 Cd 2.88-2.96

Output
**Excess energy over the best structure of this formula in the dataset**: 282.4 meV/atom
**SG**: I-4m2 (119)